VASP calculation (PBE-GGA) on crystalline KSn4Cl8 at its relaxed geometry.

Geometry as POSCAR:
```
KSn4Cl8
1.0
-7.328 -1.105 4.844
-6.920 -4.370 -3.375
-2.098 -8.028 3.086
Cl Sn K
8 4 1
direct
0.143 0.143 0.143
0.609 0.609 0.609
0.609 0.173 0.609
0.143 0.572 0.143
0.609 0.609 0.173
0.173 0.609 0.609
0.572 0.143 0.143
0.143 0.143 0.572
0.372 0.372 0.883
0.372 0.372 0.372
0.883 0.372 0.372
0.372 0.883 0.372
0.750 0.750 0.750
```

Results
As for the total moment: 0.000 μB per cell. The space group is F-43m. The value obtained for the total energy is -3.44 eV per atom.